Below is an optimized crystal structure of LiPuZnRh, with properties calculated at the PBE-GGA level.

The value obtained for the calculated density is 9.8 Mg/m³.

The space group is F-43m (No. 216) and the conventional cell measures 6.5688, 6.5688 and 6.5688 Å, with angles of 90.00, 90.00 and 90.00 degrees. The distinct sites, in fractional coordinates, are Li at (0.0000, 0.0000, 0.0000), Pu at (0.2500, 0.2500, 0.2500), Zn at (0.2500, 0.2500, 0.7500) and Rh at (0.0000, 0.0000, 0.5000).


Below is an optimized crystal structure of LiPu6Ru5, with properties calculated at the PBE-GGA level.

The value obtained for the calculated density is 13.9 Mg/m³.

The space group is Immm (No. 71) and the conventional cell measures 4.8592, 6.6629 and 14.5496 Å, with angles of 90.00, 90.00 and 90.00 degrees. The distinct sites, in fractional coordinates, are Li at (0.0000, 0.0000, 0.0000), Pu at (0.0000, 0.2403, 0.5000), Pu at (0.0000, 0.2552, 0.1710), Ru at (0.0000, 0.0000, 0.3339), Ru at (0.0000, 0.5000, 0.0000) and Ru at (0.0000, 0.5000, 0.3409).


Below is an optimized crystal structure of LiPu2Ru4, with properties calculated at the PBE-GGA level.

The value obtained for the calculated density is 12.2 Mg/m³.

The space group is Cmce (No. 64) and the conventional cell measures 9.7694, 5.5232 and 9.0368 Å, with angles of 90.00, 90.00 and 90.00 degrees. The distinct sites, in fractional coordinates, are Li at (0.0000, 0.0000, 0.0000), Pu at (0.1519, 0.0000, 0.5000), Ru at (0.0000, 0.1729, 0.2689) and Ru at (0.2500, 0.1034, 0.7500).


Below is an optimized crystal structure of LiPuRu2, with properties calculated at the PBE-GGA level.

The value obtained for the calculated density is 11.5 Mg/m³.

The space group is R-3m (No. 166, hexagonal axes) and the conventional cell measures 2.8937, 2.8937 and 27.0767 Å, with angles of 90.00, 90.00 and 120.00 degrees. The distinct sites, in fractional coordinates, are Li at (0.0000, 0.0000, 0.0000), Pu at (0.0000, 0.0000, 0.5000) and Ru at (0.0000, 0.0000, 0.4143).


Below is an optimized crystal structure of LiPu3Ru4, with properties calculated at the PBE-GGA level.

The value obtained for the calculated density is 13.4 Mg/m³.

The space group is C2/m (No. 12) and the conventional cell measures 8.0790, 4.5866 and 8.1262 Å, with angles of 90.00, 109.94 and 90.00 degrees. The distinct sites, in fractional coordinates, are Li at (0.0000, 0.0000, 0.0000), Pu at (0.0000, 0.5000, 0.5000), Pu at (0.2405, 0.5000, 0.2294), Ru at (0.1219, 0.0000, 0.3646) and Ru at (0.1288, 0.5000, 0.8766).


Below is an optimized crystal structure of LiPuRu2, with properties calculated at the PBE-GGA level.

The value obtained for the calculated density is 11.9 Mg/m³.

The space group is P4/mmm (No. 123) and the conventional cell measures 4.1572, 4.1572 and 3.6447 Å, with angles of 90.00, 90.00 and 90.00 degrees. The distinct sites, in fractional coordinates, are Li at (0.0000, 0.0000, 0.0000), Pu at (0.5000, 0.5000, 0.0000) and Ru at (0.0000, 0.5000, 0.5000).


Energy relative to the elements across the listed records, respectively: -206, -91, 72, 303, -103, -16 meV/atom.